# 1
VASP calculation (PBE) on crystalline Ag2BiN at its relaxed geometry.

Values from the calculation:
The uncorrected formation energy is 1145 meV per atom. The value obtained for the uncorrected energy is -3.332 eV per atom. The calculation puts the offset from the most stable computed form at 25.1 kJ per mole of atoms. Its crystal system is cubic. The density of states at the Fermi level is 0.3362 states/eV per atom.

POSCAR file:
```
Ag2BiN
1.0
-2.492 -2.939 2.711
-4.565 0.841 0.808
-3.284 -2.772 -1.931
Bi Ag N
1 2 1
direct
0.500 0.500 0.500
0.750 0.750 0.750
0.250 0.250 0.250
0.000 0.000 0.000
```



# 2
VASP calculation (PBE) on crystalline CsOsS2O8 at its relaxed geometry.

Values from the calculation:
The uncorrected formation energy is -1240 meV per atom. The value obtained for the uncorrected energy is -6.240 eV per atom. Its crystal system is trigonal. The density of states at the Fermi level is 0.0938 states/eV per atom.

POSCAR file:
```
CsOsS2O8
1.0
-1.348 3.690 2.933
1.719 0.240 4.585
7.198 6.206 -0.403
S O Cs Os
2 8 1 1
direct
0.730 0.730 0.811
0.270 0.270 0.189
0.010 0.591 0.136
0.591 0.263 0.136
0.737 0.990 0.864
0.216 0.216 0.351
0.263 0.010 0.136
0.990 0.409 0.864
0.784 0.784 0.649
0.409 0.737 0.864
0.500 0.500 0.500
0.000 0.000 0.000
```



# 3
VASP calculation (PBE) on crystalline Zn2BiBr at its relaxed geometry.

Values from the calculation:
The uncorrected formation energy is 200 meV per atom. The value obtained for the uncorrected energy is -1.825 eV per atom. The calculation puts the offset from the most stable computed form at 35.5 kJ per mole of atoms. Its crystal system is cubic. The density of states at the Fermi level is 0.4192 states/eV per atom.

POSCAR file:
```
Zn2BiBr
1.0
-4.900 -1.415 -0.574
-3.208 0.176 4.003
-3.724 3.528 0.151
Bi Zn Br
1 2 1
direct
0.500 0.500 0.500
0.750 0.750 0.750
0.250 0.250 0.250
0.000 0.000 0.000
```



# 4
VASP calculation (PBE) on crystalline Ga2SiO6 at its relaxed geometry.

Values from the calculation:
The uncorrected formation energy is -1662 meV per atom. The value obtained for the uncorrected energy is -6.243 eV per atom. Its crystal system is tetragonal. The density of states at the Fermi level is 0.7145 states/eV per atom.

POSCAR file:
```
Ga2SiO6
1.0
-1.993 1.836 -3.561
-0.853 -4.080 -1.627
-7.674 -0.089 4.249
O Ga Si
12 4 2
direct
0.784 0.216 0.500
0.284 0.284 0.000
0.216 0.784 0.500
0.688 0.688 0.651
0.688 0.688 0.349
0.812 0.188 0.849
0.312 0.312 0.651
0.312 0.312 0.349
0.188 0.812 0.849
0.812 0.188 0.151
0.716 0.716 0.000
0.188 0.812 0.151
0.500 0.500 0.168
0.000 0.000 0.332
0.000 0.000 0.668
0.500 0.500 0.832
0.500 0.500 0.500
0.000 0.000 0.000
```



# 5
VASP calculation (PBE) on crystalline Sc2FeHg at its relaxed geometry.

Values from the calculation:
The value obtained for the uncorrected energy is -5.332 eV per atom. Its crystal system is cubic. The density of states at the Fermi level is 1.2531 states/eV per atom.

POSCAR file:
```
Sc2FeHg
1.0
-2.165 0.366 -4.162
1.854 -2.056 -3.805
-2.097 -3.759 -1.900
Fe Sc Hg
1 2 1
direct
0.500 0.500 0.500
0.250 0.250 0.250
0.000 0.000 0.000
0.750 0.750 0.750
```



# 6
VASP calculation (PBE) on crystalline ReAgNO2 at its relaxed geometry.

Values from the calculation:
The uncorrected formation energy is 1720 meV per atom. The value obtained for the uncorrected energy is -4.988 eV per atom. Its crystal system is tetragonal. The density of states at the Fermi level is 0.8902 states/eV per atom.

POSCAR file:
```
ReAgNO2
1.0
3.974 0.000 0.000
0.000 3.974 0.000
0.000 0.000 4.101
O Ag Re N
2 1 1 1
direct
0.500 0.000 0.000
0.000 0.500 0.000
0.000 0.000 0.000
0.500 0.500 0.500
0.000 0.000 0.500
```



# 7
VASP calculation (PBE) on crystalline SrTl2Sb2 at its relaxed geometry.

Values from the calculation:
The uncorrected formation energy is -346 meV per atom. The value obtained for the uncorrected energy is -3.277 eV per atom. Its crystal system is orthorhombic. The density of states at the Fermi level is 0.5878 states/eV per atom.

POSCAR file:
```
SrTl2Sb2
1.0
-1.117 -4.235 1.408
2.552 0.573 3.746
-11.827 7.894 6.847
Sb Tl Sr
4 4 2
direct
0.127 0.250 0.254
0.250 0.750 0.500
0.873 0.750 0.746
0.750 0.250 0.500
0.051 0.750 0.103
0.553 0.250 0.107
0.949 0.250 0.897
0.447 0.750 0.893
0.337 0.250 0.673
0.663 0.750 0.327
```



# 8
VASP calculation (PBE) on crystalline LiAc2Ag3 at its relaxed geometry.

Values from the calculation:
The value obtained for the uncorrected energy is -3.357 eV per atom. Its crystal system is orthorhombic. The density of states at the Fermi level is 0.6319 states/eV per atom.

POSCAR file:
```
LiAc2Ag3
1.0
6.304 -0.429 0.000
-0.673 6.283 0.000
-2.816 -2.927 8.308
Li Ag Ac
2 6 4
direct
0.333 0.333 0.665
0.667 0.667 0.335
0.170 0.170 0.341
0.826 0.345 0.172
0.174 0.655 0.828
0.830 0.830 0.659
0.655 0.174 0.828
0.345 0.826 0.172
0.246 0.246 0.000
0.750 0.250 0.500
0.250 0.750 0.500
0.754 0.754 0.000
```



# 9
VASP calculation (PBE) on crystalline CaLaBr2 at its relaxed geometry.

Values from the calculation:
The uncorrected formation energy is -1006 meV per atom. The value obtained for the uncorrected energy is -3.575 eV per atom. The calculation puts the offset from the most stable computed form at 27.9 kJ per mole of atoms. Its crystal system is cubic. The density of states at the Fermi level is 0.7059 states/eV per atom.

POSCAR file:
```
CaLaBr2
1.0
4.472 -2.206 1.913
0.237 -5.272 0.823
3.030 -3.062 -3.157
Br Ca La
2 1 1
direct
0.250 0.250 0.250
0.750 0.750 0.750
0.000 0.000 0.000
0.500 0.500 0.500
```



# 10
VASP calculation (PBE) on crystalline BiSeS at its relaxed geometry.

Values from the calculation:
The uncorrected formation energy is -177 meV per atom. The value obtained for the uncorrected energy is -4.008 eV per atom. The calculation puts the offset from the most stable computed form at 0.0 kJ per mole of atoms. Its crystal system is monoclinic.

POSCAR file:
```
BiSeS
1.0
4.060 0.201 -0.302
0.052 4.065 -0.302
0.946 0.981 10.234
Se Bi S
2 2 2
direct
0.730 0.730 0.887
0.270 0.270 0.113
0.838 0.838 0.219
0.162 0.162 0.781
0.895 0.895 0.582
0.105 0.105 0.418
```



# 11
VASP calculation (PBE) on crystalline CsSr2BiAs at its relaxed geometry.

Values from the calculation:
The value obtained for the uncorrected energy is -1.536 eV per atom. Its crystal system is tetragonal. The density of states at the Fermi level is 1.1050 states/eV per atom.

POSCAR file:
```
CsSr2BiAs
1.0
-0.261 3.492 -5.350
-3.325 -4.193 -2.574
-5.291 2.882 2.139
Sr As Bi Cs
2 1 1 1
direct
0.500 0.000 0.000
0.000 0.000 0.500
0.500 0.500 0.500
0.000 0.500 0.000
0.000 0.000 0.000
```



# 12
VASP calculation (PBE) on crystalline SrYTlCd at its relaxed geometry.

Values from the calculation:
The value obtained for the uncorrected energy is -3.189 eV per atom. The calculation puts the offset from the most stable computed form at 3.7 kJ per mole of atoms. Its crystal system is cubic. The density of states at the Fermi level is 0.6180 states/eV per atom.

POSCAR file:
```
SrYTlCd
1.0
-5.436 -0.132 -1.038
-3.178 -3.860 2.376
-3.607 1.431 3.948
Sr Cd Tl Y
1 1 1 1
direct
0.250 0.250 0.250
0.000 0.000 0.000
0.500 0.500 0.500
0.750 0.750 0.750
```



# 13
VASP calculation (PBE) on crystalline CsBeCuS2 at its relaxed geometry.

Values from the calculation:
The uncorrected formation energy is -863 meV per atom. The value obtained for the uncorrected energy is -4.250 eV per atom. Its crystal system is orthorhombic. The density of states at the Fermi level is 0.0000 states/eV per atom.

POSCAR file:
```
CsBeCuS2
1.0
6.067 0.000 0.000
0.000 5.606 0.000
0.000 -2.803 6.760
S Cu Be Cs
4 2 2 2
direct
0.693 0.916 0.831
0.307 0.416 0.831
0.693 0.584 0.169
0.307 0.084 0.169
0.000 0.000 0.000
0.000 0.500 0.000
0.500 0.750 0.000
0.500 0.250 0.000
0.758 0.250 0.500
0.242 0.750 0.500
```



# 14
VASP calculation (PBE) on crystalline LaCr2GeOs at its relaxed geometry.

Values from the calculation:
The value obtained for the uncorrected energy is -5.538 eV per atom. Its crystal system is tetragonal. The density of states at the Fermi level is 1.5727 states/eV per atom.

POSCAR file:
```
LaCr2GeOs
1.0
-2.044 -2.272 3.142
4.426 -0.284 2.674
-1.000 3.740 2.054
Cr Ge Os La
2 1 1 1
direct
0.500 0.000 0.000
0.000 0.000 0.500
0.000 0.500 0.000
0.500 0.500 0.500
0.000 0.000 0.000
```



# 15
VASP calculation (PBE) on crystalline MgIn2Ir at its relaxed geometry.

Values from the calculation:
The value obtained for the uncorrected energy is -3.923 eV per atom. Its crystal system is cubic. The density of states at the Fermi level is 0.5816 states/eV per atom.

POSCAR file:
```
MgIn2Ir
1.0
-0.676 -1.576 -4.448
-1.244 -4.539 -0.757
-4.397 -1.045 -1.516
In Mg Ir
2 1 1
direct
0.000 0.000 0.000
0.750 0.750 0.750
0.250 0.250 0.250
0.500 0.500 0.500
```



# 16
VASP calculation (PBE) on crystalline Ta3AlFe at its relaxed geometry.

Values from the calculation:
The value obtained for the uncorrected energy is -8.944 eV per atom. The calculation puts the offset from the most stable computed form at 0.0 kJ per mole of atoms. Its crystal system is cubic. The density of states at the Fermi level is 0.8015 states/eV per atom.

POSCAR file:
```
Ta3AlFe
1.0
-4.467 0.625 -0.759
-0.949 -1.815 4.090
0.258 4.152 1.902
Ta Fe Al
3 1 1
direct
0.000 0.500 0.000
0.000 0.000 0.500
0.500 0.000 0.000
0.000 0.000 0.000
0.500 0.500 0.500
```



# 17
VASP calculation (PBE) on crystalline Pr3DyPb2 at its relaxed geometry.

Values from the calculation:
The value obtained for the uncorrected energy is -4.792 eV per atom. The calculation puts the offset from the most stable computed form at 3.8 kJ per mole of atoms. Its crystal system is orthorhombic. The density of states at the Fermi level is 1.1450 states/eV per atom.

POSCAR file:
```
Pr3DyPb2
1.0
5.017 0.000 0.000
0.000 9.100 0.000
-2.509 -4.550 8.281
Pr Dy Pb
6 2 4
direct
0.823 0.073 0.647
0.177 0.427 0.353
0.500 0.750 0.000
0.500 0.250 0.000
0.177 0.927 0.353
0.823 0.573 0.647
0.000 0.000 0.000
0.000 0.500 0.000
0.351 0.351 0.703
0.649 0.649 0.297
0.351 0.851 0.703
0.649 0.149 0.297
```



# 18
VASP calculation (PBE) on crystalline Li6GePd2 at its relaxed geometry.

Values from the calculation:
The value obtained for the uncorrected energy is -3.275 eV per atom. Its crystal system is monoclinic. The density of states at the Fermi level is 0.1814 states/eV per atom.

POSCAR file:
```
Li6GePd2
1.0
4.902 0.000 1.599
0.000 7.669 0.000
2.038 0.000 7.710
Ge Li Pd
2 12 4
direct
0.000 0.000 0.500
0.500 0.500 0.000
0.479 0.488 0.339
0.486 0.823 0.141
0.985 0.343 0.030
0.979 0.012 0.839
0.014 0.323 0.359
0.515 0.843 0.470
0.521 0.512 0.661
0.021 0.988 0.161
0.514 0.177 0.859
0.986 0.677 0.641
0.485 0.157 0.530
0.015 0.657 0.970
0.997 0.352 0.697
0.003 0.648 0.303
0.497 0.148 0.197
0.503 0.852 0.803
```



# 19
VASP calculation (PBE) on crystalline SmTm2PuP4 at its relaxed geometry.

Values from the calculation:
The value obtained for the uncorrected energy is -7.672 eV per atom. Its crystal system is monoclinic. The density of states at the Fermi level is 1.4503 states/eV per atom.

POSCAR file:
```
SmTm2PuP4
1.0
-0.536 3.368 -2.103
-6.859 -0.885 0.330
2.111 3.721 5.423
P Tm Pu Sm
4 2 1 1
direct
0.000 0.757 0.256
0.000 0.243 0.744
0.500 0.246 0.253
0.500 0.754 0.747
0.500 0.000 0.500
0.000 0.500 0.500
0.000 0.000 0.000
0.500 0.500 0.000
```



# 20
VASP calculation (PBE) on crystalline KSiRh2Se at its relaxed geometry.

Values from the calculation:
The uncorrected formation energy is 2101 meV per atom. The value obtained for the uncorrected energy is -2.841 eV per atom. The calculation puts the offset from the most stable computed form at 10.4 kJ per mole of atoms. Its crystal system is tetragonal. The density of states at the Fermi level is 1.0927 states/eV per atom.

POSCAR file:
```
KSiRh2Se
1.0
-2.853 2.076 3.207
-1.455 -4.755 1.785
3.588 0.081 3.140
Si Rh Se K
1 2 1 1
direct
0.000 0.500 0.000
0.500 0.000 0.000
0.000 0.000 0.500
0.500 0.500 0.500
0.000 0.000 0.000
```